--- w ---
A geometry-optimized Cr2SiC structure. Source: Alexandria, functional PBE.

Output
- N(E_F): 4.7 states/eV per cell
- Crystal system: trigonal

Lattice parameters (Å, degrees): 6.4018 6.4018 6.4018 25.35 25.35 25.35
Positions (direct):
Cr 0.2256 0.2256 0.2256
Cr 0.7744 0.7744 0.7744
Si 0.0000 0.0000 0.0000
C 0.5000 0.5000 0.5000



--- x ---
A geometry-optimized Cr2SiC structure. Source: Alexandria, functional PBE.

Output
- N(E_F): 7.0 states/eV per cell
- Crystal system: hexagonal

Lattice parameters (Å, degrees): 2.8692 2.8692 11.9155 90.00 90.00 120.00
Positions (direct):
Cr 0.3333 0.6667 0.0899
Cr 0.3333 0.6667 0.4101
Cr 0.6667 0.3333 0.5899
Cr 0.6667 0.3333 0.9101
Si 0.3333 0.6667 0.7500
Si 0.6667 0.3333 0.2500
C 0.0000 0.0000 0.0000
C 0.0000 0.0000 0.5000



--- y ---
A geometry-optimized Cr2SiC structure. Source: Alexandria, functional PBE.

Output
- N(E_F): 7.5 states/eV per cell
- Crystal system: cubic

Lattice parameters (Å, degrees): 3.8826 3.8826 3.8826 60.00 60.00 60.00
Positions (direct):
Cr 0.2500 0.2500 0.2500
Cr 0.7500 0.7500 0.7500
Si 0.0000 0.0000 0.0000
C 0.5000 0.5000 0.5000



Quick one: most stable of them? x



--- w ---
A geometry-optimized CrSiC3 structure. Source: Alexandria, functional PBE.

Output
- N(E_F): 2.2 states/eV per cell
- Crystal system: cubic

Lattice parameters (Å, degrees): 3.8228 3.8228 3.8228 90.00 90.00 90.00
Positions (direct):
Cr 0.0000 0.0000 0.0000
Si 0.5000 0.5000 0.5000
C 0.0000 0.0000 0.5000
C 0.0000 0.5000 0.0000
C 0.5000 0.0000 0.0000



--- x ---
A geometry-optimized CrSiC3 structure. Source: Alexandria, functional PBE.

Output
- N(E_F): 5.9 states/eV per cell
- Crystal system: cubic

Lattice parameters (Å, degrees): 3.6796 3.6796 3.6796 90.00 90.00 90.00
Positions (direct):
Cr 0.0000 0.0000 0.0000
Si 0.5000 0.5000 0.5000
C 0.0000 0.5000 0.5000
C 0.5000 0.0000 0.5000
C 0.5000 0.5000 0.0000



Quick one: most stable of them? w



--- w ---
A geometry-optimized CrSnC3 structure. Source: Alexandria, functional PBE.

Output
- N(E_F): 8.0 states/eV per cell
- Crystal system: cubic

Lattice parameters (Å, degrees): 4.2056 4.2056 4.2056 90.00 90.00 90.00
Positions (direct):
Cr 0.0000 0.0000 0.0000
Sn 0.5000 0.5000 0.5000
C 0.0000 0.5000 0.5000
C 0.5000 0.0000 0.5000
C 0.5000 0.5000 0.0000



--- x ---
A geometry-optimized CrSnC3 structure. Source: Alexandria, functional PBE.

Output
- N(E_F): 2.8 states/eV per cell
- Crystal system: cubic

Lattice parameters (Å, degrees): 3.9182 3.9182 3.9182 90.00 90.00 90.00
Positions (direct):
Cr 0.0000 0.0000 0.0000
Sn 0.5000 0.5000 0.5000
C 0.0000 0.0000 0.5000
C 0.0000 0.5000 0.0000
C 0.5000 0.0000 0.0000



Quick one: most stable of them? x